{"formula": "HgSe2Cl", "functional": "PBE", "state": "optimized geometry", "spacegroup": "Imm2 (44)", "de_polymorph_ev_per_fu": 0.621, "formation_energy_uncorrected_ev_per_fu": 0.02, "dft_energy_ev_per_cell": -9.1, "density_g_cm3": 5.709, "cell": [[-4.869, -1.141, -3.055], [1.378, -5.696, -0.010], [-1.806, 4.362, 3.472]], "species": ["Hg", "Se", "Se", "Cl"], "fractional_positions": [[0.250, 0.750, 0.500], [0.777, 0.277, 0.500], [0.977, 0.977, 0.000], [0.497, 0.497, 0.000]]}


{"formula": "Hg3SeCl5", "functional": "PBE", "state": "optimized geometry", "spacegroup": "C2/m (12)", "formation_energy_uncorrected_ev_per_fu": -3.45, "dft_energy_ev_per_cell": -34.1, "density_g_cm3": 4.963, "cell": [[6.961, -0.312, 2.537], [0.855, 6.915, 2.537], [-1.098, -0.928, 11.150]], "species": ["Cl", "Cl", "Cl", "Cl", "Cl", "Cl", "Cl", "Cl", "Cl", "Cl", "Hg", "Hg", "Hg", "Hg", "Hg", "Hg", "Se", "Se"], "fractional_positions": [[0.478, 0.478, 0.670], [0.681, 0.319, 0.000], [0.788, 0.788, 0.027], [0.522, 0.522, 0.330], [0.954, 0.568, 0.684], [0.568, 0.954, 0.684], [0.319, 0.681, 0.000], [0.432, 0.046, 0.316], [0.212, 0.212, 0.973], [0.046, 0.432, 0.316], [0.000, 0.000, 0.500], [0.648, 0.648, 0.845], [0.674, 0.674, 0.508], [0.000, 0.000, 0.000], [0.352, 0.352, 0.155], [0.326, 0.326, 0.492], [0.883, 0.883, 0.342], [0.117, 0.117, 0.658]]}


{"formula": "HgSe2Cl", "functional": "PBE", "state": "optimized geometry", "spacegroup": "Pm (6)", "de_polymorph_ev_per_fu": 0.449, "formation_energy_uncorrected_ev_per_fu": -0.15, "dft_energy_ev_per_cell": -9.3, "density_g_cm3": 5.994, "cell": [[-0.101, -2.295, 2.807], [1.446, -2.885, -2.307], [7.048, 2.037, 1.919]], "species": ["Se", "Se", "Hg", "Cl"], "fractional_positions": [[0.000, 0.247, 0.010], [0.500, 0.249, 0.231], [0.500, 0.751, 0.754], [0.000, 0.254, 0.505]]}


{"formula": "HgSe2Cl", "functional": "PBE", "state": "optimized geometry", "spacegroup": "P4/mmm (123)", "de_polymorph_ev_per_fu": 0.701, "formation_energy_uncorrected_ev_per_fu": 0.10, "dft_energy_ev_per_cell": -9.0, "density_g_cm3": 6.030, "cell": [[3.845, 0.000, 0.000], [0.000, 3.845, 0.000], [0.000, 0.000, 7.340]], "species": ["Cl", "Hg", "Se", "Se"], "fractional_positions": [[0.500, 0.000, 0.500], [0.000, 0.500, 0.500], [0.000, 0.000, 0.000], [0.500, 0.500, 0.000]]}


{"formula": "Hg2Se2Cl", "functional": "PBE", "state": "optimized geometry", "spacegroup": "P4/mbm (127)", "de_polymorph_ev_per_fu": 2.017, "formation_energy_uncorrected_ev_per_fu": 0.65, "dft_energy_ev_per_cell": -17.5, "density_g_cm3": 7.653, "cell": [[7.908, 0.000, 0.000], [0.000, 7.908, 0.000], [0.000, 0.000, 4.126]], "species": ["Cl", "Cl", "Se", "Se", "Se", "Se", "Hg", "Hg", "Hg", "Hg"], "fractional_positions": [[0.000, 0.000, 0.000], [0.500, 0.500, 0.000], [0.889, 0.389, 0.500], [0.611, 0.889, 0.500], [0.111, 0.611, 0.500], [0.389, 0.111, 0.500], [0.699, 0.199, 0.000], [0.301, 0.801, 0.000], [0.199, 0.301, 0.000], [0.801, 0.699, 0.000]]}


{"formula": "Hg2SeCl2", "functional": "PBE", "state": "optimized geometry", "spacegroup": "P2_1/c (14)", "de_polymorph_ev_per_fu": 0.082, "formation_energy_uncorrected_ev_per_fu": -2.29, "dft_energy_ev_per_cell": -40.3, "density_g_cm3": 5.873, "cell": [[-3.393, -6.185, -3.597], [6.355, -1.046, -4.195], [1.915, -5.942, 8.410]], "species": ["Hg", "Hg", "Hg", "Hg", "Hg", "Hg", "Hg", "Hg", "Cl", "Cl", "Cl", "Cl", "Cl", "Cl", "Cl", "Cl", "Se", "Se", "Se", "Se"], "fractional_positions": [[0.821, 0.897, 0.699], [0.372, 0.836, 0.834], [0.679, 0.397, 0.699], [0.321, 0.603, 0.301], [0.128, 0.336, 0.834], [0.179, 0.103, 0.301], [0.872, 0.664, 0.166], [0.628, 0.164, 0.166], [0.921, 0.323, 0.298], [0.737, 0.449, 0.996], [0.421, 0.177, 0.702], [0.763, 0.949, 0.996], [0.237, 0.051, 0.004], [0.079, 0.677, 0.702], [0.579, 0.823, 0.298], [0.263, 0.551, 0.004], [0.562, 0.688, 0.649], [0.938, 0.188, 0.649], [0.062, 0.812, 0.351], [0.438, 0.312, 0.351]]}


{"formula": "Hg4SeCl", "functional": "PBE", "state": "optimized geometry", "spacegroup": "F-43m (216)", "formation_energy_uncorrected_ev_per_fu": 1.11, "dft_energy_ev_per_cell": -5.4, "density_g_cm3": 10.145, "cell": [[-1.643, -5.142, 2.536], [-5.025, -0.274, 3.203], [-4.716, -2.988, -2.100]], "species": ["Hg", "Hg", "Hg", "Hg", "Cl", "Se"], "fractional_positions": [[0.375, 0.375, 0.375], [0.375, 0.875, 0.375], [0.875, 0.375, 0.375], [0.375, 0.375, 0.875], [0.000, 0.000, 0.000], [0.750, 0.750, 0.750]]}


{"formula": "SnHg3Se2Cl6", "functional": "PBE", "state": "optimized geometry", "spacegroup": "C2/m (12)", "formation_energy_uncorrected_ev_per_fu": -7.44, "dft_energy_ev_per_cell": -30.4, "density_g_cm3": 5.042, "cell": [[6.637, 0.000, -1.123], [0.000, 7.604, 0.000], [-2.444, -3.802, 7.535]], "species": ["Sn", "Cl", "Cl", "Cl", "Cl", "Cl", "Cl", "Se", "Se", "Hg", "Hg", "Hg"], "fractional_positions": [[0.500, 0.000, 0.000], [0.740, 0.875, 0.214], [0.260, 0.661, 0.786], [0.260, 0.125, 0.786], [0.737, 0.915, 0.830], [0.740, 0.339, 0.214], [0.263, 0.085, 0.170], [0.790, 0.318, 0.635], [0.210, 0.682, 0.365], [0.000, 0.500, 0.000], [0.500, 0.500, 0.500], [0.500, 0.000, 0.500]]}